[1]
This record from Alexandria describes a geometry-optimized Ca2ScNi structure. The functional is PBE-GGA.

Lattice parameters (Å, degrees): 5.2182 5.2182 5.2182 60.00 60.00 60.00
Element x y z (fractional)
Sc  0.0000  0.0000  0.0000
Ni  0.5000  0.5000  0.5000
Ca  0.2500  0.2500  0.2500
Ca  0.7500  0.7500  0.7500

## Properties
Crystal system: cubic
E: -3.6675 eV per atom
Formation energy from the elements: 0.36 eV per atom
DOS(E_F): 5.1 states/eV per cell
Energy above the most stable polymorph in this dataset: 0.463 eV/atom


[2]
This record from Alexandria describes a geometry-optimized Ca2ScNi structure. The functional is PBE-GGA.

Lattice parameters (Å, degrees): 3.5894 3.7090 8.6414 77.56 90.00 90.00
Element x y z (fractional)
Sc  0.5000  0.7355  0.6551
Ni  0.0000  0.2681  0.5910
Ca  0.0000  0.0893  0.9456
Ca  0.5000  0.4070  0.3083

## Properties
Crystal system: monoclinic
E: -4.1303 eV per atom
Formation energy from the elements: -0.10 eV per atom
DOS(E_F): 2.9 states/eV per cell
Energy above the most stable polymorph in this dataset: 0.000 eV/atom


[3]
This record from Alexandria describes a geometry-optimized CaSc2Ni structure. The functional is PBE-GGA.

Lattice parameters (Å, degrees): 9.4964 9.4964 9.4964 21.20 21.20 21.20
Site moments in Bohr magnetons follow the coordinates.
Element x y z (fractional)
Sc  0.0199  0.0199  0.0199  0.10
Sc  0.2584  0.2584  0.2584  0.36
Ni  0.7417  0.7417  0.7417  0.03
Ca  0.4800  0.4800  0.4800  0.01

## Properties
Crystal system: trigonal
E: -5.0314 eV per atom
Formation energy from the elements: 0.08 eV per atom
DOS(E_F): 4.9 states/eV per cell
Energy above the most stable polymorph in this dataset: 0.213 eV/atom


[4]
This record from Alexandria describes a geometry-optimized CaScNi structure. The functional is PBE-GGA.

Lattice parameters (Å, degrees): 4.6413 4.6413 4.6413 60.00 60.00 60.00
Element x y z (fractional)
Sc  0.0000  0.0000  0.0000
Ni  0.2500  0.2500  0.2500
Ca  0.5000  0.5000  0.5000

## Properties
Crystal system: cubic
E: -4.6709 eV per atom
Formation energy from the elements: 0.03 eV per atom
DOS(E_F): 2.9 states/eV per cell
Energy above the most stable polymorph in this dataset: 0.248 eV/atom


[5]
This record from Alexandria describes a geometry-optimized Ca3ScNi structure. The functional is PBE-GGA.

Lattice parameters (Å, degrees): 5.8032 5.8032 5.8032 90.00 90.00 90.00
Site moments in Bohr magnetons follow the coordinates.
Element x y z (fractional)
Sc  0.0000  0.0000  0.0000  1.29
Ni  0.5000  0.5000  0.5000  0.80
Ca  0.0000  0.5000  0.0000  0.20
Ca  0.0000  0.0000  0.5000  0.25
Ca  0.5000  0.0000  0.0000  0.14

## Properties
Crystal system: cubic
E: -2.3905 eV per atom
Formation energy from the elements: 1.23 eV per atom
DOS(E_F): 5.7 states/eV per cell
Energy above the most stable polymorph in this dataset: 1.041 eV/atom


[6]
This record from Alexandria describes a geometry-optimized Ca2ScNi structure. The functional is PBE-GGA.

Lattice parameters (Å, degrees): 6.4400 6.4400 6.4400 148.67 128.68 61.37
Element x y z (fractional)
Sc  0.3226  0.8226  0.5000
Ni  0.4819  0.4819  0.0000
Ca  0.0033  0.0033  0.0000
Ca  0.6923  0.1923  0.5000

## Properties
Crystal system: orthorhombic
E: -4.0323 eV per atom
Formation energy from the elements: 0.00 eV per atom
DOS(E_F): 4.6 states/eV per cell
Energy above the most stable polymorph in this dataset: 0.098 eV/atom


[7]
This record from Alexandria describes a geometry-optimized CaSc2Ni2 structure. The functional is PBE-GGA.

Lattice parameters (Å, degrees): 7.6275 7.6275 3.3617 90.00 90.00 90.00
Element x y z (fractional)
Sc  0.1460  0.6460  0.5000
Sc  0.6460  0.8540  0.5000
Sc  0.8540  0.3540  0.5000
Sc  0.3540  0.1460  0.5000
Ni  0.3680  0.8680  0.0000
Ni  0.8680  0.6320  0.0000
Ni  0.6320  0.1320  0.0000
Ni  0.1320  0.3680  0.0000
Ca  0.0000  0.0000  0.0000
Ca  0.5000  0.5000  0.0000

## Properties
Crystal system: tetragonal
E: -5.4931 eV per atom
Formation energy from the elements: -0.25 eV per atom
DOS(E_F): 8.1 states/eV per cell
Energy above the most stable polymorph in this dataset: 0.012 eV/atom


[8]
This record from Alexandria describes a geometry-optimized Ca2ScNi structure. The functional is PBE-GGA.

Lattice parameters (Å, degrees): 10.2451 10.2451 7.6387 47.89 47.89 90.00
Element x y z (fractional)
Sc  0.5000  0.5000  0.0000
Sc  0.2500  0.7500  0.5000
Ni  0.0000  0.0000  0.0000
Ni  0.7500  0.2500  0.5000
Ca  0.7687  0.1250  0.2500
Ca  0.9813  0.6250  0.2500
Ca  0.3750  0.2313  0.7500
Ca  0.8750  0.0187  0.7500

## Properties
Crystal system: tetragonal
E: -3.8448 eV per atom
Formation energy from the elements: 0.18 eV per atom
DOS(E_F): 6.7 states/eV per cell
Energy above the most stable polymorph in this dataset: 0.286 eV/atom